(1)
TlTe2Au: relaxed, PBE.

Lattice parameters (Å, degrees): 5.3379 5.3379 5.3379 60.00 60.00 60.00
Last column: nearest neighbours and their distance in Å.
Element x y z (fractional)
Au: 0.5000 0.5000 0.5000  4 Te 3.27, 4 Tl 3.27
Te: 0.0000 0.0000 0.0000  4 Tl 3.27, 4 Te 3.27
Te: 0.2500 0.2500 0.2500  4 Au 3.27, 4 Te 3.27
Tl: 0.7500 0.7500 0.7500  4 Te 3.27, 4 Au 3.27

Properties
calculated total energy	-2.7683	eV/atom
calculated volume	107.5	Å³/cell
symmetry	No. 216

---

(2)
Rb2TlRuF8: relaxed, PBE.

Lattice parameters (Å, degrees): 5.2933 5.2933 9.5466 90.00 90.00 120.00
Last column: nearest neighbours and their distance in Å.
Element x y z (fractional)
Rb: 0.6667 0.3333 0.2790  1 F 2.72
Rb: 0.3333 0.6667 0.7210  1 F 2.72
Tl: 0.0000 0.0000 0.5000  6 F 3.12
Ru: 0.0000 0.0000 0.0000  6 F 1.90
F: 0.8354 0.6709 0.8796  1 Ru 1.90
F: 0.3291 0.1646 0.8796  1 Ru 1.90
F: 0.8354 0.1646 0.8796  1 Ru 1.90
F: 0.1646 0.3291 0.1204  1 Ru 1.90
F: 0.6709 0.8354 0.1204  1 Ru 1.90
F: 0.1646 0.8354 0.1204  1 Ru 1.90
F: 0.6667 0.3333 0.5635  1 Rb 2.72
F: 0.3333 0.6667 0.4365  1 Rb 2.72

Properties
calculated total energy	-4.4058	eV/atom
calculated volume	231.6	Å³/cell
symmetry	No. 164

---

(3)
Sr2MnRe: relaxed, PBE.

Lattice parameters (Å, degrees): 9.3792 9.3792 9.3792 159.16 157.91 30.55
Last column: nearest neighbours and their distance in Å.
Element x y z (fractional)
Mn: 0.7500 0.2500 0.5000  4 Re 2.47
Re: 0.2500 0.7500 0.5000  4 Mn 2.47
Sr: 0.8959 0.8959 0.0000  2 Mn 3.14, 2 Re 3.19, 2 Sr 3.39
Sr: 0.6041 0.6041 0.0000  2 Mn 3.14, 2 Re 3.19, 2 Sr 3.39

Properties
calculated volume	110.3	Å³/cell
relative energy among the computed polymorphs	0.290	eV per atom
symmetry	No. 71
ΔH_f (0 K)	671	meV per atom

---

(4)
Pm4H2S5: relaxed, PBE.

Lattice parameters (Å, degrees): 4.1227 7.6030 10.4071 127.54 101.42 90.00
Last column: nearest neighbours and their distance in Å.
Element x y z (fractional)
Pm: 0.7147 0.7005 0.4294  1 H 2.33
Pm: 0.9837 0.7248 0.9674  2 H 2.33
Pm: 0.2853 0.2995 0.5706  1 H 2.33
Pm: 0.0163 0.2752 0.0326  2 H 2.33
H: 0.5689 0.4524 0.1378  3 Pm 2.33
H: 0.4311 0.5476 0.8622  3 Pm 2.33
S: 0.1435 0.8126 0.2870  5 Pm 2.89-3.20, 2 H 2.98
S: 0.8565 0.1874 0.7130  5 Pm 2.89-3.20, 2 H 2.98
S: 0.1725 0.4029 0.3451  4 Pm 2.69-2.86
S: 0.5000 0.0000 0.0000  2 H 2.79, 4 Pm 2.81
S: 0.8275 0.5971 0.6549  4 Pm 2.69-2.86

Properties
calculated total energy	-5.7835	eV/atom
calculated volume	250.5	Å³/cell
symmetry	No. 12

---

(5)
VZn2Ru: relaxed, PBE.

Lattice parameters (Å, degrees): 4.2647 4.2647 4.2647 60.00 60.00 60.00
Last column: nearest neighbours and their distance in Å.
Element x y z (fractional)
Ru: 0.5000 0.5000 0.5000  8 Zn 2.61
Zn: 0.2500 0.2500 0.2500  4 Ru 2.61, 4 V 2.61
Zn: 0.7500 0.7500 0.7500  4 V 2.61, 4 Ru 2.61
V: 0.0000 0.0000 0.0000  8 Zn 2.61

Properties
calculated volume	54.8	Å³/cell
relative energy among the computed polymorphs	0.000	eV per atom
symmetry	No. 225
ΔH_f (0 K)	85	meV per atom

---

(6)
CrNi2Sn: relaxed, PBE.

Lattice parameters (Å, degrees): 3.8096 3.8096 9.0117 77.80 77.80 90.00
Last column: nearest neighbours and their distance in Å.
Element x y z (fractional)
Ni: 0.6032 0.1250 0.2500  2 Cr 2.51, 2 Sn 2.57, 2 Ni 2.58
Ni: 0.1468 0.6250 0.2500  2 Cr 2.51, 2 Sn 2.57, 2 Ni 2.58
Ni: 0.3750 0.3968 0.7500  2 Cr 2.51, 2 Sn 2.57, 2 Ni 2.58
Ni: 0.8750 0.8532 0.7500  2 Cr 2.51, 2 Sn 2.57, 2 Ni 2.58
Sn: 0.0000 0.0000 0.0000  4 Ni 2.57, 4 Cr 2.69
Sn: 0.7500 0.2500 0.5000  4 Ni 2.57, 4 Cr 2.69
Cr: 0.5000 0.5000 0.0000  4 Ni 2.51, 4 Sn 2.69
Cr: 0.2500 0.7500 0.5000  4 Ni 2.51, 4 Sn 2.69

Properties
calculated volume	124.8	Å³/cell
symmetry	No. 122
ΔH_f (0 K)	442	meV per atom

---

(7)
KFeSe2: relaxed, PBE.

Lattice parameters (Å, degrees): 3.6113 3.6113 8.1683 90.00 90.00 90.00
Last column: nearest neighbours and their distance in Å.
Element x y z (fractional)
Fe: 0.0000 0.0000 0.3010  1 Se 2.29
K: 0.5000 0.5000 0.7878  5 Se 3.18-3.24
Se: 0.0000 0.0000 0.0206  1 Fe 2.29
Se: 0.5000 0.5000 0.3906  4 Fe 2.66

Properties
calculated total energy	-4.4246	eV/atom
calculated volume	106.5	Å³/cell
symmetry	No. 99

---

(8)
AlCdTe2: relaxed, PBE.

Lattice parameters (Å, degrees): 8.6614 8.6614 8.6614 152.93 152.93 38.66
Last column: nearest neighbours and their distance in Å.
Element x y z (fractional)
Te: 0.0000 0.0000 0.0000  4 Al 2.87
Te: 0.2500 0.7500 0.5000  4 Cd 2.87
Al: 0.5000 0.5000 0.0000  4 Te 2.87
Cd: 0.7500 0.2500 0.5000  4 Te 2.87

Properties
calculated volume	134.3	Å³/cell
relative energy among the computed polymorphs	0.313	eV per atom
symmetry	No. 119

---

(9)
Li5Cd4Pd: relaxed, PBE.

Lattice parameters (Å, degrees): 3.3546 3.3546 15.3925 90.00 90.00 90.00
Last column: nearest neighbours and their distance in Å.
Element x y z (fractional)
Li: 0.5000 0.5000 0.0824  1 Li 2.54, 4 Pd 2.69
Li: 0.5000 0.5000 0.2939  8 Cd 2.84-2.89, 1 Li 3.17
Li: 0.5000 0.5000 0.5000  8 Cd 2.86, 2 Li 3.17
Li: 0.5000 0.5000 0.7061  8 Cd 2.84-2.89, 1 Li 3.17
Li: 0.5000 0.5000 0.9176  1 Li 2.54, 4 Pd 2.69
Cd: 0.0000 0.0000 0.1870  8 Li 2.87-2.89, 1 Pd 2.88
Cd: 0.0000 0.0000 0.3957  8 Li 2.84-2.86
Cd: 0.0000 0.0000 0.6043  8 Li 2.84-2.86
Cd: 0.0000 0.0000 0.8130  8 Li 2.87-2.89, 1 Pd 2.88
Pd: 0.0000 0.0000 0.0000  8 Li 2.69, 2 Cd 2.88

Properties
calculated volume	173.2	Å³/cell
symmetry	No. 123
ΔH_f (0 K)	-287	meV per atom